VASP calculation (PBE-GGA) on an optimized crystal structure of TmLuSnTe3.

```
TmLuSnTe3
1.0
2.125 -7.596 0.000
2.125 7.596 0.000
0.000 0.000 11.840
Te Tm Lu Sn
6 2 2 2
direct
0.577 0.423 0.250
0.858 0.142 0.475
0.858 0.142 0.025
0.423 0.577 0.750
0.142 0.858 0.975
0.142 0.858 0.525
0.941 0.059 0.250
0.059 0.941 0.750
0.500 0.500 0.000
0.500 0.500 0.500
0.280 0.720 0.250
0.720 0.280 0.750
```

Values from the calculation:
- Total energy: -4.528 eV/atom
- Energy above the most stable polymorph in this dataset: 8.7 meV per atom

***

VASP calculation (PBE-GGA) on an optimized crystal structure of DyHoGa4Ag2.

```
DyHoGa4Ag2
1.0
-2.079 5.516 3.032
3.961 -0.728 4.038
5.404 1.745 0.529
Ga Ag Dy Ho
4 2 1 1
direct
0.699 0.882 0.882
0.800 0.118 0.118
0.301 0.882 0.882
0.200 0.118 0.118
0.000 0.700 0.700
0.500 0.300 0.300
0.000 0.407 0.407
0.500 0.593 0.593
```

Values from the calculation:
- Total energy: -3.839 eV/atom

***

VASP calculation (PBE-GGA) on an optimized crystal structure of HgB4As.

```
HgB4As
1.0
-1.047 2.009 -2.005
-1.897 -1.313 1.958
1.532 6.893 6.107
As B Hg
1 4 1
direct
0.000 0.000 0.500
0.667 0.333 0.298
0.333 0.667 0.298
0.667 0.333 0.702
0.333 0.667 0.702
0.000 0.000 0.000
```

Values from the calculation:
- Total energy: -4.592 eV/atom
- Energy above the most stable polymorph in this dataset: 0.0 meV per atom

***

VASP calculation (PBE-GGA) on an optimized crystal structure of TaNiSbPt.

```
TaNiSbPt
1.0
0.000 3.226 3.226
3.226 0.000 3.226
3.226 3.226 0.000
Sb Ni Ta Pt
1 1 1 1
direct
0.000 0.000 0.000
0.750 0.750 0.750
0.500 0.500 0.500
0.250 0.250 0.250
```

Values from the calculation:
- Total energy: -6.901 eV/atom
- Energy above the most stable polymorph in this dataset: 79.5 meV per atom

***

Question: What is the formula in the third record?
Answer: HgB4As